(1)
Below is a crystal of BaHgPb3 relaxed with PBEsol, with properties calculated at the SCAN level.

a b c (Å): 6.2357 6.2357 6.2357
angles (deg): 90.00 90.00 90.00
Positions (direct):
Ba  0.0000  0.0000  0.0000
Hg  0.5000  0.5000  0.5000
Pb  0.0000  0.0000  0.5000
Pb  0.0000  0.5000  0.0000
Pb  0.5000  0.0000  0.0000

Output
The size of the total moment comes out at 0.0 μB per cell. As for the energy of formation: 3.98 eV per formula unit. As for the density of states at the Fermi level: 5.1 states/eV/cell.


(2)
Below is a crystal of CaTlBr2 relaxed with PBEsol, with properties calculated at the SCAN level.

a b c (Å): 3.9669 3.9669 10.2102
angles (deg): 98.15 98.15 59.76
Positions (direct):
Ca  0.0000  0.0000  0.0000
Tl  0.5000  0.5000  0.5000
Br  0.3730  0.3730  0.1673
Br  0.6270  0.6270  0.8327

Output
The formation energy without anion corrections is -1.470 eV/atom. The size of the total moment comes out at 0.0 μB per cell. Its energy above the most stable polymorph in this dataset is 0 meV per atom. As for the density of states at the Fermi level: 1.0 states/eV/cell.


(3)
Below is a crystal of MnVFe4Si2 relaxed with PBEsol, with properties calculated at the SCAN level.

a b c (Å): 6.7758 6.7758 6.7758
angles (deg): 33.57 33.57 33.57
Positions (direct):
Mn  0.0000  0.0000  0.0000
V  0.5000  0.5000  0.5000
Fe  0.1262  0.1262  0.1262
Fe  0.3772  0.3772  0.3772
Fe  0.6228  0.6228  0.6228
Fe  0.8738  0.8738  0.8738
Si  0.2520  0.2520  0.2520
Si  0.7480  0.7480  0.7480

Output
The formation energy without anion corrections is -0.432 eV/atom. The size of the total moment comes out at 4.0 μB per cell. As for the density of states at the Fermi level: 2.7 states/eV/cell.


(4)
Below is a crystal of CdMo3H relaxed with PBEsol, with properties calculated at the SCAN level.

a b c (Å): 4.8418 4.8418 4.8418
angles (deg): 90.00 90.00 90.00
Positions (direct):
Cd  0.0000  0.0000  0.0000
Mo  0.0000  0.0000  0.5000
Mo  0.0000  0.5000  0.0000
Mo  0.5000  0.0000  0.0000
H  0.5000  0.5000  0.5000

Output
The value obtained for the total DFT energy (no corrections) is -24.18 eV/atom. The size of the total moment comes out at 0.0 μB per cell. As for the density of states at the Fermi level: 6.1 states/eV/cell.